This record from the Alexandria database describes NaTlS after structural relaxation. The functional is GGA-PBE.

Cell lengths 9.1037, 7.8622, 7.3450 Å; angles 73.46, 55.88, 50.66 degrees
Atoms (fractional coordinates):
Na 0.0017 0.0017 0.7483
Na 0.2517 0.2517 0.9983
Na 0.7483 0.7483 0.0017
Na 0.9983 0.9983 0.2517
Tl 0.0000 0.5000 0.5000
Tl 0.5000 0.0000 0.5000
Tl 0.5000 0.5000 0.0000
Tl 0.5000 0.5000 0.5000
S 0.0550 0.6950 0.0550
S 0.3050 0.9450 0.3050
S 0.6950 0.0550 0.6950
S 0.9450 0.3050 0.9450

Values from the calculation:
Symmetry: Fddd
DFT total energy: -3.1507 eV/atom
Energy relative to the elements, uncorrected: -0.5464 eV per atom
Spin magnetization: 0.00 μB/f.u.
E above lowest polymorph: 15.0 kJ/mol of atoms
Calculated volume: 334.55 Å³/cell